# 1
{"formula": "CdCoRh2", "functional": "PBE", "state": "optimized geometry", "cell": [[-0.101, -1.065, -2.630], [2.706, 0.757, -0.410], [2.221, -6.549, 2.567]], "species": ["Cd", "Co", "Rh", "Rh"], "frac_coords": [[0.500, 0.500, 0.250], [0.500, 0.500, 0.750], [0.000, 0.000, 0.968], [0.000, 0.000, 0.532]], "crystal_system": "tetragonal", "dos_ef_per_ev_atom": 1.083, "e_form_ev_per_atom": 0.028, "relative_energy_mev_per_atom": 0}

---

# 2
{"formula": "Dy2CdBiO6", "functional": "PBE", "state": "optimized geometry", "cell": [[-2.777, -4.829, 1.741], [2.325, -5.247, -1.062], [2.333, -3.167, 4.718]], "species": ["Dy", "Dy", "Cd", "Bi", "O", "O", "O", "O", "O", "O"], "frac_coords": [[0.523, 0.523, 0.431], [0.022, 0.022, 0.934], [0.802, 0.802, 0.593], [0.311, 0.311, 0.066], [0.621, 0.219, 0.244], [0.219, 0.917, 0.244], [0.917, 0.621, 0.244], [0.404, 0.708, 0.753], [0.708, 0.135, 0.753], [0.135, 0.404, 0.753]], "crystal_system": "trigonal", "dos_ef_per_ev_atom": 0.446, "energy_ev_per_cell": -66.33}

---

# 3
{"formula": "Ti3Nb2O8", "functional": "PBE", "state": "optimized geometry", "cell": [[-0.167, -4.274, -2.838], [-2.916, -2.472, 4.290], [-5.730, 0.422, 0.097]], "species": ["Ti", "Ti", "Ti", "Nb", "Nb", "O", "O", "O", "O", "O", "O", "O", "O"], "frac_coords": [[0.500, 0.000, 0.000], [0.000, 0.748, 0.252], [0.000, 0.252, 0.748], [0.495, 0.734, 0.734], [0.505, 0.266, 0.266], [0.821, 0.393, 0.393], [0.179, 0.607, 0.607], [0.824, 0.886, 0.886], [0.176, 0.114, 0.114], [0.687, 0.364, 0.884], [0.687, 0.884, 0.364], [0.313, 0.116, 0.636], [0.313, 0.636, 0.116]], "crystal_system": "monoclinic", "dos_ef_per_ev_atom": 0.626, "energy_ev_per_cell": -116.85}

---

# 4
{"formula": "Nd2Sb4Au", "functional": "PBE", "state": "optimized geometry", "cell": [[-2.398, -3.052, -2.255], [3.772, -1.622, -1.815], [0.916, -6.266, 7.506]], "species": ["Nd", "Nd", "Sb", "Sb", "Sb", "Sb", "Au"], "frac_coords": [[0.500, 0.000, 0.756], [0.000, 0.500, 0.244], [0.500, 0.000, 0.160], [0.000, 0.500, 0.840], [0.500, 0.500, 0.500], [0.000, 0.000, 0.500], [0.500, 0.500, 0.000]], "crystal_system": "tetragonal", "dos_ef_per_ev_atom": 0.476, "energy_ev_per_cell": -34.59}

---

# 5
{"formula": "TbAlRh", "functional": "PBE", "state": "optimized geometry", "cell": [[-3.112, -0.546, 0.660], [0.202, -2.885, -1.433], [2.873, -0.568, 5.183]], "species": ["Rh", "Tb", "Al"], "frac_coords": [[0.689, 0.689, 0.378], [0.011, 0.011, 0.022], [0.300, 0.300, 0.599]], "crystal_system": "tetragonal", "dos_ef_per_ev_atom": 0.794, "e_form_ev_per_atom": -0.708}

---

# 6
{"formula": "Ac8Os3AuBr4", "functional": "PBE", "state": "optimized geometry", "cell": [[8.792, 0.000, 0.000], [0.000, 9.650, 0.604], [-4.396, -4.398, 6.216]], "species": ["Ac", "Ac", "Ac", "Ac", "Ac", "Ac", "Ac", "Ac", "Os", "Os", "Os", "Au", "Br", "Br", "Br", "Br"], "frac_coords": [[0.241, 0.695, 0.955], [0.241, 0.695, 0.482], [0.268, 0.303, 0.535], [0.714, 0.695, 0.955], [0.286, 0.305, 0.045], [0.732, 0.697, 0.465], [0.759, 0.305, 0.518], [0.759, 0.305, 0.045], [0.500, 0.500, 0.000], [0.500, 0.500, 0.500], [0.000, 0.500, 0.500], [0.000, 0.500, 0.000], [0.500, 0.000, 0.000], [0.500, 0.000, 0.500], [0.000, 0.000, 0.000], [0.000, 0.000, 0.500]], "crystal_system": "trigonal", "dos_ef_per_ev_atom": 0.320, "energy_ev_per_cell": -90.09}

---

# 7
{"formula": "PuGa12Ni6", "functional": "PBE", "state": "optimized geometry", "cell": [[-3.079, -5.409, 3.067], [4.246, 2.583, 4.841], [-5.020, 4.745, -0.648]], "species": ["Pu", "Ga", "Ga", "Ga", "Ga", "Ga", "Ga", "Ga", "Ga", "Ga", "Ga", "Ga", "Ga", "Ni", "Ni", "Ni", "Ni", "Ni", "Ni"], "frac_coords": [[0.000, 0.000, 0.000], [0.885, 0.115, 0.500], [0.851, 0.595, 0.595], [0.595, 0.595, 0.851], [0.405, 0.149, 0.405], [0.405, 0.405, 0.149], [0.149, 0.405, 0.405], [0.115, 0.500, 0.885], [0.500, 0.885, 0.115], [0.115, 0.885, 0.500], [0.885, 0.500, 0.115], [0.500, 0.115, 0.885], [0.595, 0.851, 0.595], [0.705, 0.283, 0.283], [0.283, 0.283, 0.705], [0.283, 0.705, 0.283], [0.717, 0.717, 0.295], [0.295, 0.717, 0.717], [0.717, 0.295, 0.717]], "crystal_system": "trigonal", "dos_ef_per_ev_atom": 0.619, "e_form_ev_per_atom": -0.307}

---

# 8
{"formula": "ScBiPO2", "functional": "PBE", "state": "optimized geometry", "cell": [[4.206, 0.000, 0.000], [0.000, 4.206, 0.000], [0.000, 0.000, 5.407]], "species": ["Sc", "P", "Bi", "O", "O"], "frac_coords": [[0.500, 0.500, 0.500], [0.000, 0.000, 0.500], [0.000, 0.000, 0.000], [0.000, 0.500, 0.000], [0.500, 0.000, 0.000]], "crystal_system": "tetragonal", "dos_ef_per_ev_atom": 0.315, "relative_energy_mev_per_atom": 624}

---

Number 1: spin magnetization 3.215 μB/f.u., volume 59.5 Å³/f.u.. Number 2: spin magnetization 0.435 μB/f.u., volume 151.5 Å³/f.u.. Number 3: spin magnetization 0.633 μB/f.u., volume 147.9 Å³/f.u.. Number 4: spin magnetization 0.000 μB/f.u., volume 197.9 Å³/f.u.. Number 5: spin magnetization 0.000 μB/f.u., volume 57.3 Å³/f.u.. Number 6: spin magnetization 0.000 μB/f.u., volume 550.8 Å³/f.u.. Number 7: spin magnetization 5.716 μB/f.u., volume 294.0 Å³/f.u.. Number 8: spin magnetization 0.000 μB/f.u., volume 95.6 Å³/f.u..